Below is Mn2Rh2F after structural relaxation, with properties calculated at the PBE+U level.

Summary:
N(E_F), states/eV/f.u.: 5.5
Symmetry: I4/mmm, No. 139
Total magnetization, μB/cell: 0.00
E above lowest polymorph, meV/atom: 1373.4
Total energy, eV/atom: -4.9394

Structure (extended XYZ):
```
5
Lattice="3.1678 0.0000 0.0000 0.0000 3.1678 0.0000 1.5839 1.5839 6.7447" Properties=species:S:1:pos:R:3 pbc="T T T"
Mn 3.1678 1.5839 3.3723
Mn 1.5839 3.1678 3.3723
Rh 1.5839 1.5839 1.4865
Rh 3.1678 3.1678 5.2582
F 0.0000 0.0000 0.0000
```